[1]
Material: LiAlCu
Method: DFT, SCAN
State: PBEsol geometry

Unit cell a=2.9362 b=3.0736 c=4.8035 alpha=108.66 beta=107.80 gamma=90.00
With the nearest neighbours (Å) after each atom.
Fractional positions:
Cu 0.6676 0.6676 0.3352  4 Li 2.52, 4 Al 2.53
Li 0.3239 0.3239 0.6479  4 Cu 2.52, 5 Al 2.65-2.72
Al 0.0085 0.0085 0.0169  4 Cu 2.53, 5 Li 2.65-2.72

Properties
magnetization	0.00	Bohr magnetons per cell
space group	No. 44

=====

[2]
Material: LiAl2Cu
Method: DFT, SCAN
State: PBEsol geometry

Unit cell a=3.1868 b=3.1868 c=5.4787 alpha=90.00 beta=90.00 gamma=90.00
With the nearest neighbours (Å) after each atom.
Fractional positions:
Cu 0.0000 0.0000 0.4978  6 Al 2.56-2.80, 4 Li 2.62
Al 0.5000 0.5000 0.2746  1 Li 2.55, 4 Cu 2.56, 4 Al 2.75
Al 0.0000 0.0000 0.9866  4 Li 2.62, 2 Cu 2.68-2.80, 4 Al 2.75
Li 0.5000 0.5000 0.7409  5 Al 2.55-2.62, 4 Cu 2.62

Properties
magnetization	0.00	Bohr magnetons per cell
space group	No. 99

=====

[3]
Material: LiAl2Cu
Method: DFT, SCAN
State: PBEsol geometry

Unit cell a=2.7397 b=4.5452 c=4.8669 alpha=100.15 beta=90.00 gamma=107.54
With the nearest neighbours (Å) after each atom.
Fractional positions:
Li 0.0000 0.0000 0.5000  6 Al 2.61-2.76, 2 Li 2.74, 4 Cu 2.79
Al 0.7625 0.5250 0.7615  3 Cu 2.56-2.74, 3 Li 2.61-2.76, 6 Al 2.74-2.86
Al 0.2375 0.4750 0.2385  3 Cu 2.56-2.74, 3 Li 2.61-2.76, 6 Al 2.74-2.86
Cu 0.5000 0.0000 0.0000  6 Al 2.56-2.74, 2 Cu 2.74, 4 Li 2.79

Properties
magnetization	0.01	Bohr magnetons per cell
space group	No. 12

=====

| no. | final energy (Ry/atom) |
| --- | --- |
| 1 | -0.63581 |
| 2 | -0.61762 |
| 3 | -0.61757 |